Record 1
The following is a PBE calculation of crystalline Tl2Ir at its relaxed geometry, from the Alexandria database.

E_form: 0.59 eV/atom
density of states at the Fermi level: 1.31 states/eV per cell
V: 22.4 A^3/atom
space group: P-3m1 (164)

a b c (Å): 4.8054 4.8054 3.3614
angles (deg): 90.00 90.00 120.00
With the nearest neighbours (Å) after each atom.
Fractional positions:
Tl (0.6667, 0.3333, 0.2423)  3 Ir 2.89, 3 Tl 3.22
Ir (0.0000, 0.0000, 0.0000)  6 Tl 2.89
Tl (0.3333, 0.6667, 0.7577)  3 Ir 2.89, 3 Tl 3.22

***

Record 2
The following is a PBE calculation of crystalline Mo2RuCl at its relaxed geometry, from the Alexandria database.

ΔE_f (raw): 0.75 eV/atom
density of states at the Fermi level: 3.24 states/eV per cell
V: 15.3 A^3/atom
space group: Pmmm (47)

a b c (Å): 2.9428 4.4874 4.6323
angles (deg): 90.00 90.00 90.00
With the nearest neighbours (Å) after each atom.
Fractional positions:
Cl (0.0000, 0.5000, 0.5000)  4 Ru 2.68, 4 Mo 2.74, 2 Cl 2.94
Ru (0.5000, 0.0000, 0.5000)  4 Cl 2.68, 4 Mo 2.74, 2 Ru 2.94
Mo (0.5000, 0.5000, 0.0000)  6 Mo 2.68-2.94, 4 Cl 2.74
Mo (0.0000, 0.0000, 0.0000)  6 Mo 2.68-2.94, 4 Ru 2.74

***

Record 3
The following is a PBE calculation of crystalline Pm2Zn4Ag3 at its relaxed geometry, from the Alexandria database.

E_form: -0.19 eV/atom
density of states at the Fermi level: 4.28 states/eV per cell
V: 20.5 A^3/atom
space group: Fmmm (69)

a b c (Å): 5.4566 5.5682 7.4733
angles (deg): 79.70 68.59 60.66
With the nearest neighbours (Å) after each atom.
Fractional positions:
Zn (0.0014, 0.6607, 0.3366)  1 Zn 2.76, 3 Ag 2.82-2.86
Ag (0.5000, 0.5000, 0.0000)  4 Ag 2.73-2.78, 4 Zn 2.82
Ag (0.0000, 0.5000, 0.0000)  4 Ag 2.73-2.78, 4 Zn 2.82
Ag (0.0000, 0.0000, 0.0000)  4 Ag 2.78, 4 Zn 2.86
Zn (0.9986, 0.3393, 0.6634)  1 Zn 2.76, 3 Ag 2.82-2.86
Zn (0.3379, 0.6607, 0.6634)  1 Zn 2.76, 3 Ag 2.82-2.86
Pm (0.3609, 0.0000, 0.2783)  8 Zn 3.15-3.23, 6 Ag 3.35-3.39
Zn (0.6621, 0.3393, 0.3366)  1 Zn 2.76, 3 Ag 2.82-2.86
Pm (0.6391, 0.0000, 0.7217)  8 Zn 3.15-3.23, 6 Ag 3.35-3.39

***

Record 4
The following is a PBE calculation of crystalline LiEr3Pb2O at its relaxed geometry, from the Alexandria database.

ΔE_f (raw): -1.19 eV/atom
density of states at the Fermi level: 0.92 states/eV per cell
V: 22.9 A^3/atom
space group: Immm (71)

a b c (Å): 4.4095 4.5602 8.5913
angles (deg): 105.39 104.87 90.00
With the nearest neighbours (Å) after each atom.
Fractional positions:
Pb (0.3573, 0.3573, 0.7145)  7 Er 3.17-3.18, 2 Li 3.22
Er (0.1582, 0.1582, 0.3163)  1 O 2.53
Er (0.0000, 0.5000, 0.0000)  2 O 2.28
Pb (0.6427, 0.6427, 0.2855)  7 Er 3.17-3.18, 2 Li 3.22
Er (0.8418, 0.8418, 0.6837)  1 O 2.53
Li (0.5000, 0.0000, 0.0000)  2 O 2.20
O (0.0000, 0.0000, 0.0000)  2 Li 2.20, 2 Er 2.28

***

Record 5
The following is a PBE calculation of crystalline Pm6Os2CCl3 at its relaxed geometry, from the Alexandria database.

ΔE_f (raw): -0.82 eV/atom
density of states at the Fermi level: 8.96 states/eV per cell
V: 25.7 A^3/atom
space group: C2/m (12)

a b c (Å): 6.9598 6.9598 7.6994
angles (deg): 98.41 98.41 120.21
With the nearest neighbours (Å) after each atom.
Fractional positions:
Pm (0.7462, 0.7462, 0.1942)  1 C 2.62, 2 Os 2.79
Pm (0.9372, 0.6264, 0.8035)  1 C 2.60, 2 Os 2.78-2.81
Cl (0.5000, 0.5000, 0.5000)  6 Pm 3.18-3.29
Cl (0.1569, 0.8431, 0.5000)  6 Pm 3.13-3.43
C (0.0000, 0.0000, 0.0000)  6 Pm 2.60-2.62
Cl (0.8431, 0.1569, 0.5000)  6 Pm 3.13-3.43
Pm (0.3736, 0.0628, 0.1965)  1 C 2.60, 2 Os 2.78-2.81
Os (0.3311, 0.6689, 0.0000)  6 Pm 2.78-2.81
Pm (0.2538, 0.2538, 0.8058)  1 C 2.62, 2 Os 2.79
Pm (0.6264, 0.9372, 0.8035)  1 C 2.60, 2 Os 2.78-2.81
Pm (0.0628, 0.3736, 0.1965)  1 C 2.60, 2 Os 2.78-2.81
Os (0.6689, 0.3311, 0.0000)  6 Pm 2.78-2.81

***

Record 6
The following is a PBE calculation of crystalline ThInPt2 at its relaxed geometry, from the Alexandria database.

E_form: -0.79 eV/atom
density of states at the Fermi level: 1.75 states/eV per cell
V: 21.4 A^3/atom
space group: P4/mmm (123)

a b c (Å): 3.5299 3.5299 6.8663
angles (deg): 90.00 90.00 90.00
With the nearest neighbours (Å) after each atom.
Fractional positions:
In (0.5000, 0.5000, 0.5000)  8 Pt 2.97
Th (0.5000, 0.5000, 0.0000)  8 Pt 3.09, 2 In 3.43
Pt (0.0000, 0.0000, 0.7341)  4 In 2.97, 4 Th 3.09, 1 Pt 3.22
Pt (0.0000, 0.0000, 0.2659)  4 In 2.97, 4 Th 3.09, 1 Pt 3.22

***

What is the V in the fourth record?
22.9 A^3/atom